Here is a geometry-optimized OsCO2F structure from the Alexandria database. Energies are from PBE-GGA.

Cell and atoms, written as POSCAR:
```
OsCO2F
1.0
3.765 0.000 0.000
0.000 3.765 0.000
0.000 0.000 4.320
O F C Os
2 1 1 1
Direct
0.000 0.500 0.000 O
0.500 0.000 0.000 O
0.000 0.000 0.500 F
0.500 0.500 0.500 C
0.000 0.000 0.000 Os
```

Computed properties:
* crystal system: tetragonal
* N(E_F): 3.70 states/eV/f.u.
* VASP energy: -5.78 eV/atom
* formation energy from raw total energies: 670 meV/atom
* total moment: 2.10 μB per formula unit